[1]
{
  "formula": "ScCdW2",
  "functional": "GGA-PBEsol",
  "state": "optimized geometry",
  "lattice_angstrom": [[-1.960, 0.190, -2.007], [2.497, -0.474, -1.203], [-1.487, -9.286, 0.573]],
  "species": ["W", "W", "Sc", "Cd"],
  "fractional_positions": [[0.500, 0.500, 0.767], [0.000, 0.000, 0.989], [0.500, 0.500, 0.235], [0.000, 0.000, 0.508]],
  "n_ef_per_ev_cell": 4.16
}

---

[2]
{
  "formula": "ScCd3W",
  "functional": "GGA-PBEsol",
  "state": "optimized geometry",
  "lattice_angstrom": [[5.099, 0.000, 0.000], [0.000, 5.099, 0.000], [0.000, 0.000, 5.099]],
  "species": ["Cd", "Cd", "Cd", "Sc", "W"],
  "fractional_positions": [[0.000, 0.500, 0.000], [0.500, 0.000, 0.000], [0.000, 0.000, 0.500], [0.500, 0.500, 0.500], [0.000, 0.000, 0.000]],
  "n_ef_per_ev_cell": 5.82
}

---

[3]
{
  "formula": "ScCdW2",
  "functional": "GGA-PBEsol",
  "state": "optimized geometry",
  "lattice_angstrom": [[2.760, 0.000, 0.000], [0.000, 4.207, 0.000], [0.000, 0.000, 6.054]],
  "species": ["W", "W", "Cd", "Sc"],
  "fractional_positions": [[0.500, 0.500, 0.231], [0.000, 0.000, 0.017], [0.000, 0.000, 0.499], [0.500, 0.500, 0.753]],
  "n_ef_per_ev_cell": 4.43
}

---

[4]
{
  "formula": "ScCd2W",
  "functional": "GGA-PBEsol",
  "state": "optimized geometry",
  "lattice_angstrom": [[2.857, 0.000, 0.000], [0.000, 5.152, 0.016], [-1.428, -0.741, 5.052]],
  "species": ["Sc", "Cd", "Cd", "W"],
  "fractional_positions": [[0.500, 0.000, 0.000], [0.745, 0.742, 0.490], [0.255, 0.258, 0.510], [0.000, 0.500, 0.000]],
  "n_ef_per_ev_cell": 3.03
}

---

[5]
{
  "formula": "Y2ScCd",
  "functional": "GGA-PBEsol",
  "state": "optimized geometry",
  "lattice_angstrom": [[-1.532, -3.308, -0.254], [2.149, -0.637, -4.670], [4.146, -0.271, 4.820]],
  "species": ["Sc", "Y", "Y", "Cd"],
  "fractional_positions": [[0.221, 0.720, 0.441], [0.996, 0.996, 0.992], [0.774, 0.273, 0.548], [0.510, 0.510, 0.019]],
  "n_ef_per_ev_cell": 4.58
}

---

[6]
{
  "formula": "YSc2Cd",
  "functional": "GGA-PBEsol",
  "state": "optimized geometry",
  "lattice_angstrom": [[-1.482, -2.796, -1.816], [3.371, 0.557, -3.608], [2.303, -2.237, 5.229]],
  "species": ["Y", "Sc", "Sc", "Cd"],
  "fractional_positions": [[0.520, 0.520, 0.040], [0.746, 0.246, 0.492], [0.975, 0.975, 0.950], [0.258, 0.758, 0.517]],
  "n_ef_per_ev_cell": 3.74
}

---

[7]
{
  "formula": "YScCd2",
  "functional": "GGA-PBEsol",
  "state": "optimized geometry",
  "lattice_angstrom": [[3.459, 0.000, 0.000], [0.000, 5.105, -0.108], [-1.729, -2.201, 5.320]],
  "species": ["Sc", "Cd", "Cd", "Y"],
  "fractional_positions": [[0.513, 0.524, 0.026], [0.982, 0.999, 0.963], [0.265, 0.747, 0.529], [0.741, 0.230, 0.481]],
  "n_ef_per_ev_cell": 5.43
}

---

[8]
{
  "formula": "Y2ScCd",
  "functional": "GGA-PBEsol",
  "state": "optimized geometry",
  "lattice_angstrom": [[3.649, 0.000, 0.000], [0.000, 5.348, 0.126], [0.000, -0.897, 5.274]],
  "species": ["Y", "Y", "Sc", "Cd"],
  "fractional_positions": [[0.000, 0.000, 0.500], [0.000, 0.500, 0.000], [0.500, 0.500, 0.500], [0.500, 0.000, 0.000]],
  "n_ef_per_ev_cell": 5.25
}

---

[9]
{
  "formula": "Y2ScCd",
  "functional": "GGA-PBEsol",
  "state": "optimized geometry",
  "lattice_angstrom": [[-0.547, 1.566, -3.041], [2.454, -1.966, -1.454], [-5.963, -5.963, -1.999]],
  "species": ["Y", "Y", "Sc", "Cd"],
  "fractional_positions": [[0.500, 0.500, 0.276], [0.000, 0.000, 0.985], [0.500, 0.500, 0.720], [0.000, 0.000, 0.519]],
  "n_ef_per_ev_cell": 4.88
}

---

[10]
{
  "formula": "YScCd",
  "functional": "GGA-PBEsol",
  "state": "optimized geometry",
  "lattice_angstrom": [[3.413, 0.000, 0.000], [0.000, 3.413, 0.000], [-1.707, -1.707, 6.305]],
  "species": ["Cd", "Sc", "Y"],
  "fractional_positions": [[0.009, 0.009, 0.018], [0.653, 0.653, 0.306], [0.338, 0.338, 0.676]],
  "n_ef_per_ev_cell": 3.86
}

---

Number 1: E_form 0.22 eV/atom, M_tot 0.00 μB per formula unit. Number 2: E_form 1.17 eV/atom, M_tot 0.00 μB per formula unit. Number 3: E_form 0.40 eV/atom, M_tot 0.00 μB per formula unit. Number 4: E_form 0.30 eV/atom, M_tot 0.00 μB per formula unit. Number 5: E_form -0.17 eV/atom, M_tot 0.00 μB per formula unit. Number 6: E_form -0.13 eV/atom, M_tot 0.00 μB per formula unit. Number 7: E_form -0.22 eV/atom, M_tot 0.11 μB per formula unit. Number 8: E_form -0.11 eV/atom, M_tot 0.00 μB per formula unit. Number 9: E_form -0.15 eV/atom, M_tot 0.00 μB per formula unit. Number 10: E_form -0.20 eV/atom, M_tot 0.92 μB per formula unit.